(1)
This record from Alexandria describes a relaxed BaAs2Cl crystal. The functional is PBE-GGA.

- Total moment: 0.0 μB per cell
- Uncorrected formation energy: 0.14 eV per atom

Cell lengths 3.5431, 3.5431, 8.4605 Å; angles 90.00, 90.00, 90.00 degrees
Atoms (fractional coordinates):
Ba 0.0000 0.0000 0.0000
As 0.5000 0.5000 0.2763
As 0.5000 0.5000 0.7237
Cl 0.0000 0.0000 0.5000

(2)
This record from Alexandria describes a relaxed CaHfReO6 crystal. The functional is PBE-GGA.

- Total moment: 2.0 μB per cell
- Uncorrected formation energy: -2.53 eV per atom

Cell lengths 5.3371, 5.3371, 10.0218 Å; angles 90.00, 90.00, 120.00 degrees
Atoms (fractional coordinates):
Ca 0.0000 0.0000 0.0000
Ca 0.0000 0.0000 0.5000
Hf 0.3333 0.6667 0.2500
Hf 0.6667 0.3333 0.7500
Re 0.3333 0.6667 0.7500
Re 0.6667 0.3333 0.2500
O 0.0199 0.3743 0.6426
O 0.0199 0.6456 0.8574
O 0.3544 0.3743 0.8574
O 0.3544 0.9801 0.6426
O 0.3743 0.0199 0.1426
O 0.3743 0.3544 0.3574
O 0.6257 0.6456 0.6426
O 0.6257 0.9801 0.8574
O 0.6456 0.0199 0.3574
O 0.6456 0.6257 0.1426
O 0.9801 0.3544 0.1426
O 0.9801 0.6257 0.3574

(3)
This record from Alexandria describes a relaxed NdErCdTc crystal. The functional is PBE-GGA.

- ΔE_f: -36.4 meV per atom
- Total moment: 0.0 μB per cell

Cell lengths 5.1004, 5.1004, 5.1004 Å; angles 60.00, 60.00, 60.00 degrees
Atoms (fractional coordinates):
Nd 0.0000 0.0000 0.0000
Er 0.5000 0.5000 0.5000
Cd 0.7500 0.7500 0.7500
Tc 0.2500 0.2500 0.2500

(4)
This record from Alexandria describes a relaxed ErHfFeIr crystal. The functional is PBE-GGA.

- ΔE_f: -502.8 meV per atom
- Total moment: 0.2 μB per cell

Cell lengths 4.6373, 4.6373, 4.6373 Å; angles 60.00, 60.00, 60.00 degrees
Atoms (fractional coordinates):
Er 0.0000 0.0000 0.0000
Hf 0.5000 0.5000 0.5000
Fe 0.7500 0.7500 0.7500
Ir 0.2500 0.2500 0.2500

(5)
This record from Alexandria describes a relaxed Rb2Ga2Ag crystal. The functional is PBE-GGA.

- ΔE_f: -23.8 meV per atom
- Total moment: 0.0 μB per cell

Cell lengths 6.9709, 6.9709, 7.6550 Å; angles 90.00, 90.00, 73.58 degrees
Atoms (fractional coordinates):
Rb 0.1902 0.1902 0.0000
Rb 0.1902 0.1902 0.5000
Rb 0.8098 0.8098 0.0000
Rb 0.8098 0.8098 0.5000
Ga 0.3513 0.6487 0.5886
Ga 0.3513 0.6487 0.9114
Ga 0.6487 0.3513 0.0886
Ga 0.6487 0.3513 0.4114
Ag 0.3488 0.6512 0.2500
Ag 0.6512 0.3488 0.7500

(6)
This record from Alexandria describes a relaxed SrAg11 crystal. The functional is PBE-GGA.

- ΔE_f: -55.9 meV per atom
- Total moment: 0.0 μB per cell

Cell lengths 8.9133, 8.9133, 8.9133 Å; angles 100.33, 100.33, 129.90 degrees
Atoms (fractional coordinates):
Sr 0.3750 0.6250 0.7500
Sr 0.6250 0.3750 0.2500
Ag 0.0000 0.0000 0.0000
Ag 0.0000 0.0000 0.5000
Ag 0.0000 0.5000 0.0000
Ag 0.1250 0.8750 0.2500
Ag 0.1360 0.5578 0.3344
Ag 0.1360 0.8015 0.5782
Ag 0.1985 0.2767 0.3344
Ag 0.1985 0.8640 0.9218
Ag 0.2767 0.1985 0.8344
Ag 0.2767 0.4422 0.0782
Ag 0.4422 0.2767 0.5782
Ag 0.4422 0.8640 0.1656
Ag 0.5000 0.0000 0.5000
Ag 0.5578 0.1360 0.8344
Ag 0.5578 0.7233 0.4218
Ag 0.7233 0.5578 0.9218
Ag 0.7233 0.8015 0.1656
Ag 0.8015 0.1360 0.0782
Ag 0.8015 0.7233 0.6656
Ag 0.8640 0.1985 0.4218
Ag 0.8640 0.4422 0.6656
Ag 0.8750 0.1250 0.7500

(7)
This record from Alexandria describes a relaxed Al2Tl5Se6 crystal. The functional is PBE-GGA.

- Total moment: 0.0 μB per cell
- Uncorrected formation energy: -0.57 eV per atom

Cell lengths 7.7178, 7.7178, 16.5538 Å; angles 102.06, 102.06, 62.68 degrees
Atoms (fractional coordinates):
Al 0.1125 0.3392 0.4333
Al 0.3392 0.1125 0.9333
Al 0.6608 0.8875 0.0667
Al 0.8875 0.6608 0.5667
Tl 0.0124 0.6659 0.2555
Tl 0.2478 0.7340 0.0006
Tl 0.2660 0.7522 0.4994
Tl 0.3234 0.6766 0.7500
Tl 0.3341 0.9876 0.2445
Tl 0.6659 0.0124 0.7555
Tl 0.6766 0.3234 0.2500
Tl 0.7340 0.2478 0.5006
Tl 0.7522 0.2660 0.9994
Tl 0.9876 0.3341 0.7445
Se 0.0483 0.0588 0.3724
Se 0.0588 0.0483 0.8724
Se 0.1931 0.3628 0.5834
Se 0.3466 0.3593 0.8667
Se 0.3593 0.3466 0.3667
Se 0.3628 0.1931 0.0834
Se 0.6372 0.8069 0.9166
Se 0.6407 0.6534 0.6333
Se 0.6534 0.6407 0.1333
Se 0.8069 0.6372 0.4166
Se 0.9412 0.9517 0.1276
Se 0.9517 0.9412 0.6276

(8)
This record from Alexandria describes a relaxed YP2H crystal. The functional is PBE-GGA.

- VASP energy: -42.963 eV per cell
- Total moment: 0.0 μB per cell

Cell lengths 7.2972, 7.2972, 7.2972 Å; angles 144.09, 144.09, 51.69 degrees
Atoms (fractional coordinates):
Y 0.0000 0.0000 0.0000
Y 0.7500 0.2500 0.5000
P 0.3202 0.6250 0.1952
P 0.3750 0.5702 0.6952
P 0.4298 0.1250 0.8048
P 0.8750 0.6798 0.3048
H 0.2500 0.7500 0.5000
H 0.5000 0.5000 0.0000

(9)
This record from Alexandria describes a relaxed MnPIr3 crystal. The functional is PBE-GGA.

- ΔE_f: 1573.1 meV per atom
- Total moment: 0.0 μB per cell

Cell lengths 4.4575, 4.4575, 4.4575 Å; angles 90.00, 90.00, 90.00 degrees
Atoms (fractional coordinates):
Mn 0.0000 0.0000 0.0000
P 0.5000 0.5000 0.5000
Ir 0.0000 0.0000 0.5000
Ir 0.0000 0.5000 0.0000
Ir 0.5000 0.0000 0.0000

(10)
This record from Alexandria describes a relaxed NpCoTe2 crystal. The functional is PBE-GGA.

- Total moment: 5.1 μB per cell
- Uncorrected formation energy: 0.21 eV per atom

Cell lengths 9.5622, 9.5622, 9.5622 Å; angles 21.26, 21.26, 21.26 degrees
Atoms (fractional coordinates):
Np 0.0000 0.0000 0.0000
Co 0.5000 0.5000 0.5000
Te 0.1126 0.1126 0.1126
Te 0.8874 0.8874 0.8874

(11)
This record from Alexandria describes a relaxed Pr2UTe4 crystal. The functional is PBE-GGA.

- Total moment: 6.5 μB per cell
- Uncorrected formation energy: -1.08 eV per atom

Cell lengths 7.7472, 7.7472, 15.2259 Å; angles 90.00, 90.00, 147.31 degrees
Atoms (fractional coordinates):
Pr 0.1346 0.8654 0.5682
Pr 0.1346 0.8654 0.9318
Pr 0.8654 0.1346 0.0682
Pr 0.8654 0.1346 0.4318
U 0.3775 0.6225 0.7500
U 0.6225 0.3775 0.2500
Te 0.0305 0.9695 0.7500
Te 0.2206 0.7794 0.1282
Te 0.2206 0.7794 0.3718
Te 0.5000 0.5000 0.0000
Te 0.5000 0.5000 0.5000
Te 0.7794 0.2206 0.6282
Te 0.7794 0.2206 0.8718
Te 0.9695 0.0305 0.2500

(12)
This record from Alexandria describes a relaxed GaPb3 crystal. The functional is PBE-GGA.

- ΔE_f: 50.5 meV per atom
- Total moment: 0.0 μB per cell

Cell lengths 5.9217, 5.9217, 5.9217 Å; angles 130.85, 130.85, 72.04 degrees
Atoms (fractional coordinates):
Ga 0.0000 0.0000 0.0000
Pb 0.2500 0.7500 0.5000
Pb 0.5000 0.5000 0.0000
Pb 0.7500 0.2500 0.5000